No. 1
The following is a GGA-PBE calculation of an optimized crystal structure of NaCd2AsOs, from the Alexandria database.

Results
The crystal system is tetragonal. The total energy is -10.60 eV/cell.

```
5
Lattice="-0.0705 -4.0378 -2.7695 4.5041 -1.1555 1.5700 -1.9437 -2.5191 3.7222" Properties=species:S:1:pos:R:3 pbc="T T T"
Na 0.0000 0.0000 0.0000
As 1.2449 -3.8562 1.2614
Os 2.2520 -0.5778 0.7850
Cd -0.9719 -1.2596 1.8611
Cd -0.0353 -2.0189 -1.3848
```


No. 2
The following is a GGA-PBE calculation of an optimized crystal structure of MnAl2B, from the Alexandria database.

Results
The crystal system is tetragonal. The total energy is -44.75 eV/cell.

```
8
Lattice="-2.6958 -5.4877 3.9520 6.2823 -3.6070 -0.7232 2.5335 -3.6180 3.4097" Properties=species:S:1:pos:R:3 pbc="T T T"
B 1.7933 -4.5473 1.6144
B 5.3045 -5.8862 2.1504
Mn 0.0000 0.0000 0.0000
Mn 0.8155 -6.8265 4.4881
Al 0.0295 -4.1832 2.7985
Al 3.9271 -4.4468 1.3279
Al 3.9342 -6.5197 3.6888
Al 4.3492 -10.2757 5.4618
```


No. 3
The following is a GGA-PBE calculation of an optimized crystal structure of Ba2MgTa, from the Alexandria database.

Results
The crystal system is monoclinic. The total energy is -13.39 eV/cell.

```
4
Lattice="3.3184 0.0000 0.0000 0.0000 6.6178 -0.0019 0.0000 3.9395 5.7578" Properties=species:S:1:pos:R:3 pbc="T T T"
Ba 0.0000 0.0000 0.0000
Ba 1.6592 3.3089 -0.0010
Mg 1.6592 5.2786 2.8780
Ta 0.0000 1.9698 2.8789
```


No. 4
The following is a GGA-PBE calculation of an optimized crystal structure of UPaMn2S8, from the Alexandria database.

Results
The crystal system is tetragonal. The uncorrected formation energy is -0.925 eV/atom.

```
12
Lattice="6.3109 0.0000 0.0000 0.0000 6.3109 0.0000 -3.1555 -3.1555 6.3522" Properties=species:S:1:pos:R:3 pbc="T T T"
U 3.1555 0.0000 3.1761
Pa 0.0000 0.0000 0.0000
Mn 3.1555 3.1555 0.0000
Mn 0.0000 3.1555 3.1761
S 4.2561 4.8944 1.0620
S 2.0549 1.4165 1.0620
S 1.7447 2.0222 4.2068
S -1.7447 -2.0222 4.2068
S 5.1777 1.4107 2.1454
S 1.1332 4.9002 2.1454
S -1.7390 1.1006 5.2902
S 1.7390 -1.1006 5.2902
```


Q: What is the formula in the fourth record?
A: UPaMn2S8